(1)
This record from Alexandria describes an optimized crystal structure of Sr2Si3AgAu12. The functional is PBE.

Calculated values
Formation energy without anion corrections (eV per atom): -0.068
SG: R-3m, No. 166

The structure in POSCAR format:
```
Sr2Si3AgAu12
1.0
4.458 2.574 6.285
-4.458 2.574 6.285
0.000 -5.148 6.285
Sr Si Ag Au
2 3 1 12
Cartesian
0.000 0.000 1.983
0.000 0.000 16.873
-2.229 -1.287 6.285
-2.229 1.287 12.570
0.000 2.574 6.285
0.000 0.000 9.428
-2.262 -1.306 8.718
0.000 -2.322 6.184
-2.011 1.161 6.184
0.000 -2.612 10.138
-2.262 1.306 10.138
-2.011 -1.161 12.671
2.011 1.161 6.184
2.262 -1.306 8.718
0.000 2.612 8.718
2.011 -1.161 12.671
0.000 2.322 12.671
2.262 1.306 10.138
```

=====

(2)
This record from Alexandria describes an optimized crystal structure of Nd3Si2ClO8. The functional is PBE.

Calculated values
Formation energy without anion corrections (eV per atom): -3.159
Polymorph energy (0 for the lowest one) (meV per atom): 0.0
SG: Pnma, No. 62

The structure in POSCAR format:
```
Nd3Si2ClO8
1.0
7.167 0.000 0.000
0.000 18.363 0.000
0.000 0.000 6.381
Nd Si Cl O
12 8 4 32
Cartesian
0.124 1.671 0.807
0.124 7.510 0.807
1.427 13.772 2.446
2.156 4.591 5.636
3.460 10.852 3.997
3.460 16.692 3.997
3.708 1.671 2.384
3.708 7.510 2.384
5.011 13.772 0.745
5.740 4.591 3.935
7.043 10.852 5.574
7.043 16.692 5.574
0.196 1.838 3.964
0.196 7.344 3.964
3.388 11.019 0.773
3.388 16.525 0.773
3.779 1.838 5.608
3.779 7.344 5.608
6.972 11.019 2.417
6.972 16.525 2.417
0.353 4.591 1.518
3.231 13.772 4.709
3.936 4.591 1.673
6.815 13.772 4.863
0.097 0.582 5.002
0.097 8.599 5.002
0.287 3.200 4.941
0.287 5.981 4.941
1.132 11.353 3.370
1.132 16.191 3.370
1.412 1.749 2.880
1.412 7.433 2.880
2.172 10.930 6.071
2.172 16.614 6.071
2.451 2.172 0.180
2.451 7.009 0.180
3.297 12.381 1.750
3.297 15.163 1.750
3.486 9.763 1.812
3.486 17.781 1.812
3.681 0.582 4.569
3.681 8.599 4.569
3.870 3.200 4.631
3.870 5.981 4.631
4.716 11.353 6.202
4.716 16.191 6.202
4.996 1.749 0.310
4.996 7.433 0.310
5.755 10.930 3.501
5.755 16.614 3.501
6.035 2.172 3.011
6.035 7.009 3.011
6.881 12.381 1.441
6.881 15.163 1.441
7.070 9.763 1.379
7.070 17.781 1.379
```

=====

(3)
This record from Alexandria describes an optimized crystal structure of ZnH2F5. The functional is PBE.

Calculated values
SG: P-1, No. 2
Uncorrected energy (eV per atom): -3.76

The structure in POSCAR format:
```
ZnH2F5
1.0
3.922 0.000 0.000
-1.657 5.062 0.000
-1.605 -1.225 5.310
Zn H F
1 2 5
Cartesian
0.000 0.000 0.000
-0.802 -0.613 2.655
-0.828 2.531 0.000
-1.611 4.418 1.882
-0.100 1.872 0.599
1.961 0.000 0.000
0.760 1.965 4.712
2.272 -0.581 3.429
```

=====

(4)
This record from Alexandria describes an optimized crystal structure of PrZnCd2. The functional is PBE.

Calculated values
SG: F-43m, No. 216
Energy relative to the elements (eV per atom): -0.293

The structure in POSCAR format:
```
PrZnCd2
1.0
7.178 0.000 0.000
0.000 7.178 0.000
0.000 0.000 7.178
Pr Zn Cd
4 4 8
Cartesian
0.000 0.000 0.000
0.000 3.589 3.589
3.589 0.000 3.589
3.589 3.589 0.000
1.795 1.795 5.384
1.795 5.384 1.795
5.384 1.795 1.795
5.384 5.384 5.384
0.000 0.000 3.589
0.000 3.589 0.000
1.795 1.795 1.795
1.795 5.384 5.384
3.589 0.000 0.000
3.589 3.589 3.589
5.384 1.795 5.384
5.384 5.384 1.795
```

=====

no.,N(E_F) (states/eV per atom)
1,0.5598
2,0.0000
3,0.5261
4,0.4584